The following is a GGA-PBE calculation of crystalline GaPt at its relaxed geometry, from the Open Quantum Materials Database.

The space group is Fm-3m (No. 225) and the conventional cell measures 5.1629, 5.1629 and 5.1629 Å, with angles of 90.00, 90.00 and 90.00 degrees. The asymmetric unit holds Ga at (0.0000, 0.0000, 0.0000) and Pt at (0.0000, 0.0000, 0.5000).

The total magnetic moment is 0.00 μB per formula unit. For the total energy, the calculation gives -4.92 eV per atom.